(1)
Computed, not measured: crystalline La2CoPPt at its relaxed geometry at the GGA-PBE level of DFT.

Summary:
Final energy ... -29.541 eV/cell
Volume ... 141 Å³ per cell
Space-group type ... P4/mmm, No. 123
Crystal system ... tetragonal
Calculated formation energy ... -0.226 eV/atom

Cell lengths 5.5572, 4.5748, 5.5572 Å; angles 90.00, 90.00, 90.00 degrees
Last column: nearest neighbours and their distance in Å.
Fractional coordinates of all 5 atoms:
1 P 0.5000 0.5000 0.5000  8 La 3.60, 4 Co 3.93
2 Co 0.0000 0.5000 0.0000  2 Pt 2.29
3 Pt 0.0000 0.0000 0.0000  2 Co 2.29
4 La 0.0000 0.0000 0.5000  2 Pt 2.78
5 La 0.5000 0.0000 0.0000  2 Pt 2.78

(2)
Computed, not measured: crystalline LaCoReP2 at its relaxed geometry at the GGA-PBE level of DFT.

Summary:
Final energy ... -39.550 eV/cell
Volume ... 87 Å³ per cell
Space-group type ... I-4m2, No. 119
Crystal system ... tetragonal
Calculated formation energy ... -0.850 eV/atom

Cell lengths 3.9410, 3.9410, 6.2395 Å; angles 108.41, 108.41, 90.00 degrees
Last column: nearest neighbours and their distance in Å.
Fractional coordinates of all 5 atoms:
1 La 0.0000 0.0000 0.0000  8 P 3.21, 4 Re 3.42, 4 Co 3.42
2 Co 0.7500 0.2500 0.5000  4 P 2.30
3 Re 0.2500 0.7500 0.5000  4 P 2.30
4 P 0.6431 0.6431 0.2862  2 Re 2.30, 2 Co 2.30
5 P 0.3569 0.3569 0.7138  2 Re 2.30, 2 Co 2.30

(3)
Computed, not measured: crystalline La2Co3P4Ru at its relaxed geometry at the GGA-PBE level of DFT.

Summary:
Final energy ... -71.958 eV/cell
Volume ... 155 Å³ per cell
Space-group type ... P-4m2, No. 115
Crystal system ... tetragonal
Calculated formation energy ... -0.987 eV/atom

Cell lengths 4.0608, 4.0608, 9.3835 Å; angles 90.00, 90.00, 90.00 degrees
Last column: nearest neighbours and their distance in Å.
Fractional coordinates of all 10 atoms:
1 La 0.5000 0.0000 0.2374  8 P 3.01-3.11, 7 Co 3.12-3.25, 2 Ru 3.19
2 La 0.0000 0.5000 0.7626  8 P 3.01-3.11, 7 Co 3.12-3.25, 2 Ru 3.19
3 Co 0.0000 0.0000 0.5000  4 P 2.39
4 Co 0.5000 0.0000 0.8915  5 P 2.27-2.41
5 Co 0.0000 0.5000 0.1085  5 P 2.27-2.41
6 P 0.5000 0.5000 0.0000  4 Co 2.27
7 P 0.0000 0.0000 0.0000  4 Co 2.27
8 P 0.5000 0.0000 0.6347  3 Co 2.39-2.41, 2 Ru 2.39
9 P 0.0000 0.5000 0.3653  3 Co 2.39-2.41, 2 Ru 2.39
10 Ru 0.5000 0.5000 0.5000  4 P 2.39